Entry 1:
Nd3TmAg3 PBE-GGA optimized geometry; SG = No. 12
1.0
7.280 1.422 0.389
-1.970 7.151 0.389
-0.370 -0.597 7.135
Nd Tm Ag
6 2 6
Direct
0.642 0.642 0.374
0.177 0.823 0.500
0.823 0.177 0.500
0.274 0.726 0.000
0.726 0.274 0.000
0.358 0.358 0.626
0.749 0.749 0.866
0.251 0.251 0.134
0.932 0.932 0.176
0.989 0.491 0.728
0.491 0.989 0.728
0.011 0.509 0.272
0.509 0.011 0.272
0.068 0.068 0.824

---

Entry 2:
NdTmAg PBE-GGA optimized geometry; SG = No. 70; energy relative to the lowest polymorph listed for this composition = 235.8 meV/atom
1.0
7.164 0.137 -0.002
-0.081 7.165 0.006
-3.535 -3.653 7.180
Nd Tm Ag
4 4 4
Direct
0.162 0.087 0.249
0.163 0.588 0.251
0.412 0.837 0.749
0.913 0.838 0.751
0.663 0.088 0.251
0.413 0.338 0.751
0.662 0.587 0.249
0.912 0.337 0.749
0.549 0.974 0.500
0.776 0.701 0.000
0.026 0.451 0.500
0.299 0.224 0.000

---

Record order is preserved below.
Energy of formation from the pure elements: -118 66 meV per atom